[1]
Below is crystalline Tl2FeCl at its relaxed geometry, with properties calculated at the GGA-PBEsol level.

Cell lengths 5.2354, 5.2354, 3.0914 Å; angles 90.00, 90.00, 90.00 degrees
Fractional positions:
1 Tl 0.0000 0.5000 0.0000
2 Tl 0.5000 0.0000 0.0000
3 Fe 0.0000 0.0000 0.5104
4 Cl 0.5000 0.5000 0.4975

The uncorrected formation energy comes out at 0.169 eV per atom. As for the symmetry: P4mm. The calculation puts the energy at -15.6 eV per cell. For the density of states at the Fermi level, the calculation gives 2.0 states/eV/cell. The calculation puts the offset from the most stable computed form at 82.6 meV per atom.

=====

[2]
Below is crystalline FeWCl2 at its relaxed geometry, with properties calculated at the GGA-PBEsol level.

Cell lengths 6.0877, 6.0877, 6.0877 Å; angles 152.30, 138.03, 51.04 degrees
Fractional positions:
1 Fe 0.0000 0.0000 0.0000
2 W 0.8295 0.3295 0.5000
3 Cl 0.3260 0.8260 0.5000
4 Cl 0.6204 0.6204 0.0000

The uncorrected formation energy comes out at 0.604 eV per atom. As for the symmetry: Imm2. The calculation puts the energy at -24.4 eV per cell. For the density of states at the Fermi level, the calculation gives 2.9 states/eV/cell. The calculation puts the offset from the most stable computed form at 382.8 meV per atom.

=====

[3]
Below is crystalline FeWCl2 at its relaxed geometry, with properties calculated at the GGA-PBEsol level.

Cell lengths 4.2247, 4.2247, 4.2247 Å; angles 60.00, 60.00, 60.00 degrees
Fractional positions:
1 Fe 0.0000 0.0000 0.0000
2 W 0.5000 0.5000 0.5000
3 Cl 0.2500 0.2500 0.2500
4 Cl 0.7500 0.7500 0.7500

The uncorrected formation energy comes out at 0.941 eV per atom. As for the symmetry: Fm-3m. The calculation puts the energy at -23.0 eV per cell. For the density of states at the Fermi level, the calculation gives 3.9 states/eV/cell. The calculation puts the offset from the most stable computed form at 720.6 meV per atom.

=====

[4]
Below is crystalline FeW2Cl at its relaxed geometry, with properties calculated at the GGA-PBEsol level.

Cell lengths 8.4537, 8.4537, 8.4537 Å; angles 19.06, 19.06, 19.06 degrees
Fractional positions:
1 Fe 0.0000 0.0000 0.0000
2 W 0.2522 0.2522 0.2522
3 W 0.7478 0.7478 0.7478
4 Cl 0.5000 0.5000 0.5000

The uncorrected formation energy comes out at 0.470 eV per atom. As for the symmetry: R-3m. The calculation puts the energy at -36.7 eV per cell. For the density of states at the Fermi level, the calculation gives 3.1 states/eV/cell. The calculation puts the offset from the most stable computed form at 0.0 meV per atom.

=====

[5]
Below is crystalline Fe2WCl at its relaxed geometry, with properties calculated at the GGA-PBEsol level.

Cell lengths 8.0190, 8.0190, 8.0190 Å; angles 20.27, 20.27, 20.27 degrees
Fractional positions:
1 Fe 0.0000 0.0000 0.0000
2 Fe 0.2579 0.2579 0.2579
3 W 0.5048 0.5048 0.5048
4 Cl 0.7510 0.7510 0.7510

The uncorrected formation energy comes out at 0.403 eV per atom. As for the symmetry: R3m. The calculation puts the energy at -32.1 eV per cell. For the density of states at the Fermi level, the calculation gives 3.9 states/eV/cell. The calculation puts the offset from the most stable computed form at 18.6 meV per atom.

=====

[6]
Below is crystalline FeWCl2 at its relaxed geometry, with properties calculated at the GGA-PBEsol level.

Cell lengths 8.2420, 8.2420, 8.2420 Å; angles 20.70, 20.70, 20.70 degrees
Fractional positions:
1 Fe 0.0000 0.0000 0.0000
2 W 0.5000 0.5000 0.5000
3 Cl 0.4026 0.4026 0.4026
4 Cl 0.5974 0.5974 0.5974

The uncorrected formation energy comes out at 0.273 eV per atom. As for the symmetry: R-3m. The calculation puts the energy at -25.7 eV per cell. For the density of states at the Fermi level, the calculation gives 3.0 states/eV/cell. The calculation puts the offset from the most stable computed form at 52.6 meV per atom.

=====

[7]
Below is crystalline FeWCl2 at its relaxed geometry, with properties calculated at the GGA-PBEsol level.

Cell lengths 4.2490, 4.2490, 4.2490 Å; angles 108.13, 108.13, 112.19 degrees
Fractional positions:
1 Fe 0.0000 0.0000 0.0000
2 W 0.7500 0.2500 0.5000
3 Cl 0.2500 0.7500 0.5000
4 Cl 0.5000 0.5000 0.0000

The uncorrected formation energy comes out at 0.926 eV per atom. As for the symmetry: I-4m2. The calculation puts the energy at -23.1 eV per cell. For the density of states at the Fermi level, the calculation gives 3.7 states/eV/cell. The calculation puts the offset from the most stable computed form at 704.8 meV per atom.

=====

[8]
Below is crystalline Fe2WCl at its relaxed geometry, with properties calculated at the GGA-PBEsol level.

Cell lengths 2.7838, 2.7838, 6.7679 Å; angles 90.00, 90.00, 90.00 degrees
Fractional positions:
1 Fe 0.0000 0.0000 0.2439
2 Fe 0.0000 0.0000 0.7561
3 W 0.5000 0.5000 0.5000
4 Cl 0.5000 0.5000 0.0000

The uncorrected formation energy comes out at 0.385 eV per atom. As for the symmetry: P4/mmm. The calculation puts the energy at -32.2 eV per cell. For the density of states at the Fermi level, the calculation gives 3.0 states/eV/cell. The calculation puts the offset from the most stable computed form at 0.0 meV per atom.